(1)
First-principles (PBE) data for a relaxed MgMnMo2 crystal, as listed in Alexandria via LeMat-Bulk.

abc: 5.162 5.162 5.162
angles: 137.33 137.33 61.93
Sites, in units of the cell vectors:
Mg 0.000 0.000 0.000
Mn 0.500 0.500 0.000
Mo 0.250 0.750 0.500
Mo 0.750 0.250 0.500

Values from the calculation:
Energy relative to the elements = 321 meV per atom
Total DFT energy (no corrections) = -31.14 eV per cell
V = 62.4 Å³/f.u.

(2)
First-principles (PBE) data for a relaxed ZrSc2Tc crystal, as listed in Alexandria via LeMat-Bulk.

abc: 3.128 3.128 9.349
angles: 90.00 90.00 111.43
Sites, in units of the cell vectors:
Zr 0.000 0.000 0.000
Sc 0.000 0.000 0.585
Sc 0.500 0.500 0.287
Tc 0.500 0.500 0.794

Values from the calculation:
E above lowest polymorph = 3.28 kcal/mol of atoms
Energy relative to the elements = -31 meV per atom
Total DFT energy (no corrections) = -31.70 eV per cell
V = 85.2 Å³/f.u.

(3)
First-principles (PBE) data for a relaxed RbNa2HgBi crystal, as listed in Alexandria via LeMat-Bulk.

abc: 6.078 6.078 6.106
angles: 90.00 90.00 90.00
Sites, in units of the cell vectors:
Rb 0.000 0.000 0.000
Na 0.000 0.500 0.500
Na 0.500 0.000 0.500
Hg 0.500 0.500 0.000
Bi 0.500 0.500 0.500

Values from the calculation:
E above lowest polymorph = 0.86 kcal/mol of atoms
Energy relative to the elements = -147 meV per atom
Total DFT energy (no corrections) = -8.52 eV per cell
V = 225.6 Å³/f.u.